Entry from the Alexandria database: a relaxed structure of MnInPtO4 (PBE with a Hubbard U).

POSCAR file:
```
MnInPtO4
1.0
-3.156 3.191 4.710
3.156 -3.191 4.710
3.156 3.191 -4.710
Mn In Pt O
2 2 2 8
direct
0.379 0.129 0.250 Mn
0.621 0.871 0.750 Mn
0.000 0.500 0.500 In
0.500 0.500 0.000 In
0.000 0.000 0.500 Pt
0.000 0.500 0.000 Pt
0.205 0.740 0.465 O
0.225 0.260 0.965 O
0.256 0.274 0.518 O
0.256 0.737 0.982 O
0.744 0.263 0.018 O
0.744 0.726 0.482 O
0.775 0.740 0.035 O
0.795 0.260 0.535 O
```

Computed properties:
E: -6.209 eV per atom
Crystal system: orthorhombic
Magnetic moment: 0.851 μB per atom